No. 1
# YFeBiPt

Crystalline YFeBiPt at its relaxed geometry (PBE, OQMD).

Values from the calculation:
* M_tot: 2.798 μB per formula unit
* raw total energy: -0.4692 Ry per atom
* energy above the lowest structure with this stoichiometry: 70 meV per atom

abc: 4.839 4.839 4.839
angles: 60.00 60.00 60.00
Fractional coordinates of all 4 atoms:
Y (0.000, 0.000, 0.000)
Fe (0.500, 0.500, 0.500)
Bi (0.250, 0.250, 0.250)
Pt (0.750, 0.750, 0.750)

No. 2
# ZnFeBiPt

Crystalline ZnFeBiPt at its relaxed geometry (PBE, OQMD).

Values from the calculation:
* M_tot: 2.220 μB per formula unit
* raw total energy: -0.3492 Ry per atom
* energy above the lowest structure with this stoichiometry: 0 meV per atom

abc: 4.607 4.607 4.607
angles: 60.00 60.00 60.00
Fractional coordinates of all 4 atoms:
Zn (0.000, 0.000, 0.000)
Fe (0.750, 0.750, 0.750)
Bi (0.500, 0.500, 0.500)
Pt (0.250, 0.250, 0.250)

No. 3
# ZrFeBiPt

Crystalline ZrFeBiPt at its relaxed geometry (PBE, OQMD).

Values from the calculation:
* M_tot: 2.287 μB per formula unit
* raw total energy: -0.5000 Ry per atom
* energy above the lowest structure with this stoichiometry: 69 meV per atom

abc: 4.697 4.697 4.697
angles: 60.00 60.00 60.00
Fractional coordinates of all 4 atoms:
Zr (0.000, 0.000, 0.000)
Fe (0.500, 0.500, 0.500)
Bi (0.250, 0.250, 0.250)
Pt (0.750, 0.750, 0.750)